i:
{"formula": "ZrSb2TeBr", "functional": "PBE", "state": "relaxed", "lattice": [[-4.1035, -3.6573, 1.1049], [3.8145, -4.0131, 0.8831], [0.2095, 1.3638, 5.2926]], "species": ["Sb", "Sb", "Te", "Br", "Zr"], "fractional_positions": [[0.0000, 0.5000, 0.0000], [0.5000, 0.0000, 0.0000], [0.0000, 0.0000, 0.5000], [0.5000, 0.5000, 0.5000], [0.0000, 0.0000, 0.0000]]}

ii:
{"formula": "ZrSb2TeBr", "functional": "PBE", "state": "relaxed", "lattice": [[5.3236, 0.0000, 0.0000], [0.0000, 5.3236, 0.0000], [0.0000, 0.0000, 5.5507]], "species": ["Sb", "Sb", "Te", "Br", "Zr"], "fractional_positions": [[0.0000, 0.5000, 0.0000], [0.5000, 0.0000, 0.0000], [0.0000, 0.0000, 0.5000], [0.0000, 0.0000, 0.0000], [0.5000, 0.5000, 0.5000]]}

i wins, 874 meV/atom ahead of the next structure.